Entry 1:
K2RbNa4: optimized geometry, GGA-PBE.

Calculated values
The volume is 423.35 Å³/f.u. As for the energy of formation: 0.12 eV per atom. The calculation puts the relative energy among the computed polymorphs at 6.7 kJ/mol of atoms.

a b c (Å): 4.5718 4.5718 20.5114
angles (deg): 96.40 96.40 90.00
Positions (direct):
1 K 0.6634 0.6634 0.3268
2 K 0.3366 0.3366 0.6732
3 Rb 0.0000 0.0000 0.0000
4 Na 0.0978 0.0978 0.1956
5 Na 0.9022 0.9022 0.8044
6 Na 0.2500 0.7500 0.5000
7 Na 0.7500 0.2500 0.5000

Entry 2:
K4Rb5Na4: optimized geometry, GGA-PBE.

Calculated values
The volume is 887.77 Å³/f.u. As for the energy of formation: 0.03 eV per atom.

a b c (Å): 5.6308 12.8681 12.8681
angles (deg): 87.26 77.36 77.36
Positions (direct):
1 K 0.8911 0.5200 0.6978
2 K 0.5889 0.3022 0.5200
3 K 0.1089 0.4800 0.3022
4 K 0.4111 0.6978 0.4800
5 Rb 0.7017 0.9309 0.6656
6 Rb 0.2983 0.0691 0.3344
7 Rb 0.0000 0.0000 0.0000
8 Rb 0.6326 0.6656 0.0691
9 Rb 0.3674 0.3344 0.9309
10 Na 0.7661 0.2876 0.1802
11 Na 0.2339 0.7124 0.8198
12 Na 0.9463 0.8198 0.2876
13 Na 0.0537 0.1802 0.7124

Entry 3:
KRb3Na4: optimized geometry, GGA-PBE.

Calculated values
The volume is 494.08 Å³/f.u. As for the energy of formation: 0.06 eV per atom. The calculation puts the relative energy among the computed polymorphs at 1.8 kJ/mol of atoms.

a b c (Å): 9.0337 9.0337 9.0337
angles (deg): 113.21 87.91 129.97
Positions (direct):
1 K 0.9996 0.5000 0.4996
2 Rb 0.5809 0.2342 0.8151
3 Rb 0.9268 0.0000 0.9268
4 Rb 0.5809 0.7658 0.3468
5 Na 0.2713 0.6792 0.9505
6 Na 0.2713 0.3208 0.5921
7 Na 0.4847 0.2246 0.2602
8 Na 0.0356 0.7754 0.2601

Entry 4:
K10RbNa2: optimized geometry, GGA-PBE.

Calculated values
The volume is 894.74 Å³/f.u. As for the energy of formation: 0.02 eV per atom. The calculation puts the relative energy among the computed polymorphs at 0.0 kJ/mol of atoms.

a b c (Å): 11.1828 11.1828 14.4421
angles (deg): 90.00 90.00 97.77
Positions (direct):
1 K 0.4192 0.1222 0.7500
2 K 0.5808 0.8778 0.2500
3 K 0.8778 0.5808 0.7500
4 K 0.1222 0.4192 0.2500
5 K 0.5342 0.7632 0.7500
6 K 0.4658 0.2368 0.2500
7 K 0.2368 0.4658 0.7500
8 K 0.7632 0.5342 0.2500
9 K 0.8382 0.1618 0.4058
10 K 0.1618 0.8382 0.9058
11 K 0.8382 0.1618 0.0942
12 K 0.1618 0.8382 0.5942
13 K 0.6173 0.3827 0.9382
14 K 0.3827 0.6173 0.4382
15 K 0.6173 0.3827 0.5618
16 K 0.3827 0.6173 0.0618
17 K 0.7850 0.7850 0.0000
18 K 0.2150 0.2150 0.5000
19 K 0.2150 0.2150 0.0000
20 K 0.7850 0.7850 0.5000
21 Rb 0.8808 0.1192 0.7500
22 Rb 0.1192 0.8808 0.2500
23 Na 0.5000 0.0000 0.0000
24 Na 0.5000 0.0000 0.5000
25 Na 0.0000 0.5000 0.5000
26 Na 0.0000 0.5000 0.0000

Entry 5:
K4RbNa6: optimized geometry, GGA-PBE.

Calculated values
The volume is 619.70 Å³/f.u. As for the energy of formation: 0.05 eV per atom.

a b c (Å): 6.2976 10.6595 10.6595
angles (deg): 120.00 90.00 90.00
Positions (direct):
1 K 0.5000 0.6018 0.5556
2 K 0.5000 0.9538 0.3981
3 K 0.0000 0.0000 0.0000
4 K 0.5000 0.4444 0.0462
5 Rb 0.0000 0.3333 0.6667
6 Na 0.5000 0.0295 0.7982
7 Na 0.5000 0.2018 0.2313
8 Na 0.0000 0.8488 0.5638
9 Na 0.0000 0.4362 0.2850
10 Na 0.0000 0.7150 0.1512
11 Na 0.5000 0.7687 0.9705

Entry 6:
K12Rb7Na: optimized geometry, GGA-PBE.

Calculated values
The volume is 2084.63 Å³/f.u. As for the energy of formation: 0.18 eV per atom.

a b c (Å): 13.9385 13.9385 13.9385
angles (deg): 109.47 109.47 109.47
Positions (direct):
1 K 0.3934 0.6444 0.7490
2 K 0.8954 0.6444 0.2510
3 K 0.6066 0.3556 0.2510
4 K 0.1046 0.3556 0.7490
5 K 0.7490 0.1046 0.3556
6 K 0.7490 0.3934 0.6444
7 K 0.2510 0.8954 0.6444
8 K 0.2510 0.6066 0.3556
9 K 0.6444 0.7490 0.3934
10 K 0.3556 0.2510 0.6066
11 K 0.6444 0.2510 0.8954
12 K 0.3556 0.7490 0.1046
13 Rb 0.5000 0.5000 0.0000
14 Rb 0.0000 0.5000 0.5000
15 Rb 0.5000 0.0000 0.5000
16 Rb 0.5000 0.5000 0.5000
17 Rb 0.0000 0.0000 0.5000
18 Rb 0.5000 0.0000 0.0000
19 Rb 0.0000 0.5000 0.0000
20 Na 0.0000 0.0000 0.0000

| no. | N(E_F) (states/eV per atom) |
| --- | --- |
| 1 | 0.469 |
| 2 | 0.606 |
| 3 | 0.728 |
| 4 | 0.802 |
| 5 | 0.471 |
| 6 | 0.802 |